1.
A plane-wave DFT calculation with PBE was carried out for crystalline CePmCo2P2 at its relaxed geometry.

Properties
formation energy: -615 kJ/mol of formula units

Cell: 3.8966 3.8966 8.0180 Å, 90.00 90.00 120.00°
Space group P-3m1 (No. 164)
Unique sites:
Ce (0.0000, 0.0000, 0.0000) x1
Pm (0.0000, 0.0000, 0.5000) x1
Co (0.3333, 0.6667, 0.2292) x2
P (0.3333, 0.6667, 0.7444) x2

***

2.
A plane-wave DFT calculation with PBE was carried out for crystalline AcNF at its relaxed geometry.

Properties
raw formation energy: -2.29 eV per atom
energy above the most stable polymorph in this dataset: 0.0779 eV/atom

Cell: 7.4564 3.8578 8.3451 Å, 90.00 105.67 90.00°
Space group C2/m (No. 12)
Unique sites:
Ac (0.0724, 0.0000, 0.3140) x4
N (0.0915, 0.5000, 0.5592) x4
F (0.1795, 0.5000, 0.1620) x4

***

3.
A plane-wave DFT calculation with PBE was carried out for crystalline SrY2Pb at its relaxed geometry.

Properties
formation energy: 40 kJ/mol of formula units

Cell: 4.8574 4.8574 23.6253 Å, 90.00 90.00 90.00°
Space group I-42d (No. 122)
Unique sites:
Sr (0.0000, 0.0000, 0.0000) x4
Y (0.2228, 0.2500, 0.6250) x8
Pb (0.0000, 0.0000, 0.5000) x4

***

4.
A plane-wave DFT calculation with PBE was carried out for crystalline TlHgCl6 at its relaxed geometry.

Properties
raw formation energy: -0.42 eV per atom
energy above the most stable polymorph in this dataset: 0.0000 eV/atom

Cell: 7.0065 11.1936 7.1600 Å, 90.00 111.29 90.00°
Space group C2/m (No. 12)
Unique sites:
Tl (0.0000, 0.0000, 0.0000) x2
Hg (0.0000, 0.5000, 0.5000) x2
Cl (0.2034, 0.0000, 0.7932) x4
Cl (0.2110, 0.3434, 0.7235) x8

***

5.
A plane-wave DFT calculation with PBE was carried out for crystalline Cu2AgPb at its relaxed geometry.

Properties
formation energy: 69 kJ/mol of formula units

Cell: 3.2413 3.2413 6.8583 Å, 90.00 90.00 90.00°
Space group P4mm (No. 99)
Unique sites:
Cu (0.0000, 0.0000, 0.0000) x1
Cu (0.5000, 0.5000, 0.1626) x1
Ag (0.5000, 0.5000, 0.7750) x1
Pb (0.0000, 0.0000, 0.4421) x1

***

6.
A plane-wave DFT calculation with PBE was carried out for crystalline Er2HfAl at its relaxed geometry.

Properties
formation energy: 98 kJ/mol of formula units
energy above the most stable polymorph in this dataset: 0.3873 eV/atom

Cell: 3.2453 3.2453 33.6438 Å, 90.00 90.00 120.00°
Space group R-3m (No. 166, hexagonal axes)
Unique sites:
Er (0.0000, 0.0000, 0.0956) x6
Hf (0.0000, 0.0000, 0.0000) x3
Al (0.0000, 0.0000, 0.5000) x3